# CdBTe, optimized geometry, DFT PBE
data_CdBTe
_chemical_formula_sum 'Cd1 B1 Te1'
_cell_length_a 4.7072
_cell_length_b 4.7072
_cell_length_c 4.7072
_cell_angle_alpha 60.00
_cell_angle_beta 60.00
_cell_angle_gamma 60.00
_symmetry_space_group_name_H-M 'P 1'
_symmetry_Int_Tables_number 1
_symmetry_space_group_name_Hall 'P 1'
loop_
_atom_site_label
_atom_site_type_symbol
_atom_site_fract_x
_atom_site_fract_y
_atom_site_fract_z
_atom_site_occupancy
B1 B 0.2500 0.2500 0.2500 1
Cd1 Cd 0.0000 0.0000 0.0000 1
Te1 Te 0.7500 0.7500 0.7500 1
# Total DFT energy (no corrections): -2.364 eV/atom
# Theoretical density: 5.6 Mg/m³
# Crystal system: cubic